## BaNdPt2 (PBE-GGA)

Data for BaNdPt2 after structural relaxation.

The structure in POSCAR format:
```
BaNdPt2
1.0
-0.782 3.233 2.659
-3.701 2.093 -0.224
-4.540 -3.075 5.813
Ba Nd Pt
1 1 2
Cartesian
-4.541 1.079 4.172
-7.515 0.497 7.414
-3.869 -2.007 4.712
-2.149 0.733 1.887
```

## Properties
**ΔH_f (0 K)**: -0.783 eV/atom
**Total magnetic moment**: 0.0 Bohr magnetons per cell
**Final energy**: -5.476 eV/atom

***

## BaNdPt2 (PBE-GGA)

Data for BaNdPt2 after structural relaxation.

The structure in POSCAR format:
```
BaNdPt2
1.0
3.714 0.000 0.000
0.000 3.714 0.000
0.000 0.000 7.605
Nd Ba Pt
1 1 2
Cartesian
1.857 1.857 0.000
1.857 1.857 3.802
0.000 0.000 6.045
0.000 0.000 1.560
```

## Properties
**ΔH_f (0 K)**: -0.898 eV/atom
**Total magnetic moment**: 0.0 Bohr magnetons per cell
**Final energy**: -5.591 eV/atom